{"formula": "NbCdNO", "functional": "GGA-PBE", "state": "relaxed", "lattice_angstrom": [[3.3396, 0.0000, 0.0000], [0.0000, 6.3288, 0.0000], [0.0000, 0.0000, 6.5820]], "species": ["Nb", "Nb", "Cd", "Cd", "N", "N", "O", "O"], "frac_coords": [[0.0000, 0.1437, 0.0000], [0.0000, 0.8563, 0.5000], [0.5000, 0.2951, 0.4746], [0.5000, 0.7049, 0.9746], [0.0000, 0.0525, 0.7222], [0.0000, 0.9475, 0.2222], [0.5000, 0.3103, 0.0293], [0.5000, 0.6897, 0.5293]], "de_polymorph_ev_per_atom": 0.081, "density_g_cm3": 5.62}


{"formula": "Mg2Pa", "functional": "GGA-PBE", "state": "relaxed", "lattice_angstrom": [[5.1048, -2.8909, 0.0000], [5.1048, 2.8909, 0.0000], [0.0000, 0.0000, 4.9497]], "species": ["Mg", "Mg", "Mg", "Mg", "Pa", "Pa"], "frac_coords": [[0.0244, 0.3168, 0.2500], [0.3168, 0.0244, 0.7500], [0.6832, 0.9756, 0.2500], [0.9756, 0.6832, 0.7500], [0.3820, 0.6180, 0.2500], [0.6180, 0.3820, 0.7500]], "density_g_cm3": 6.36, "energy_ev_per_atom": -3.851}


{"formula": "MgHgSeO", "functional": "GGA-PBE", "state": "relaxed", "lattice_angstrom": [[6.4385, 0.0000, 0.0000], [0.0000, 6.6971, 0.0000], [0.0000, 0.0000, 7.3343]], "species": ["Mg", "Mg", "Mg", "Mg", "Hg", "Hg", "Hg", "Hg", "Se", "Se", "Se", "Se", "O", "O", "O", "O"], "frac_coords": [[0.1857, 0.2292, 0.0573], [0.3143, 0.7708, 0.5573], [0.6857, 0.2708, 0.9427], [0.8143, 0.7292, 0.4427], [0.0412, 0.3379, 0.6003], [0.4588, 0.6621, 0.1003], [0.5412, 0.1621, 0.3997], [0.9588, 0.8379, 0.8997], [0.0558, 0.0586, 0.3669], [0.4442, 0.9414, 0.8669], [0.5558, 0.4414, 0.6331], [0.9442, 0.5586, 0.1331], [0.0386, 0.6660, 0.6150], [0.4614, 0.3340, 0.1150], [0.5386, 0.8340, 0.3850], [0.9614, 0.1660, 0.8850]], "de_polymorph_ev_per_atom": 0.153, "density_g_cm3": 6.72}


{"formula": "TmNbPO", "functional": "GGA-PBE", "state": "relaxed", "lattice_angstrom": [[4.1777, 0.0000, 0.0000], [0.0000, 4.1777, 0.0000], [0.0000, 0.0000, 7.3099]], "species": ["Tm", "Tm", "Nb", "Nb", "P", "P", "O", "O"], "frac_coords": [[0.2500, 0.7500, 0.0000], [0.7500, 0.2500, 0.0000], [0.2500, 0.2500, 0.3968], [0.7500, 0.7500, 0.6032], [0.2500, 0.2500, 0.7605], [0.7500, 0.7500, 0.2395], [0.2500, 0.7500, 0.5000], [0.7500, 0.2500, 0.5000]], "de_polymorph_ev_per_atom": 1.127, "density_g_cm3": 8.04}